HoTaS | PBE | optimized geometry

Lattice parameters (Å, degrees): 3.7477 3.7477 9.6677 90.00 90.00 90.00
Element x y z (fractional)
Ho: 0.2500 0.2500 0.1835
Ho: 0.7500 0.7500 0.8165
Ta: 0.2500 0.7500 0.5000
Ta: 0.7500 0.2500 0.5000
S: 0.2500 0.2500 0.8860
S: 0.7500 0.7500 0.1140

## Properties
Total moment = 0.00 μB per cell
SG = P4/nmm (129)
DOS at the Fermi energy = 5.86 states/eV per cell
Uncorrected formation energy = -0.625 eV/atom
DFT total energy = -44.865 eV/cell

***

LaPa2BC4 | PBE | optimized geometry

Lattice parameters (Å, degrees): 6.3487 6.3487 11.0347 90.00 90.00 145.78
Element x y z (fractional)
La: 0.0890 0.9110 0.7500
La: 0.9110 0.0890 0.2500
Pa: 0.3694 0.6306 0.5651
Pa: 0.3694 0.6306 0.9349
Pa: 0.6306 0.3694 0.0651
Pa: 0.6306 0.3694 0.4349
B: 0.2210 0.7790 0.2500
B: 0.7790 0.2210 0.7500
C: 0.0000 0.0000 0.0000
C: 0.0000 0.0000 0.5000
C: 0.2578 0.7422 0.1216
C: 0.2578 0.7422 0.3784
C: 0.4457 0.5543 0.7500
C: 0.5543 0.4457 0.2500
C: 0.7422 0.2578 0.6216
C: 0.7422 0.2578 0.8784

## Properties
Formation energy from the elements = -0.2458 eV/atom
Total moment = 0.00 μB per cell
SG = Cmcm (63)
DOS at the Fermi energy = 4.83 states/eV per cell
DFT total energy = -138.917 eV/cell